Entry 1:
The following is a PBE calculation of an optimized crystal structure of HoSnPd2, from OQMD via LeMat-Bulk.

Unit cell a=4.002 b=6.246 c=6.528 alpha=90.00 beta=90.00 gamma=90.00
Fractional coordinates of all 8 atoms:
Ho 0.000 0.149 0.000
Ho 0.000 0.851 0.500
Sn 0.500 0.341 0.641
Sn 0.500 0.659 0.141
Pd 0.000 0.422 0.349
Pd 0.000 0.578 0.849
Pd 0.500 0.083 0.296
Pd 0.500 0.917 0.796

Total moment = 0.01 μB per cell
DFT total energy = -5.47 eV/atom
Space-group type = Pmc2_1



Entry 2:
The following is a PBE calculation of an optimized crystal structure of HoSn3Pd4, from OQMD via LeMat-Bulk.

Unit cell a=5.738 b=4.403 c=6.249 alpha=90.00 beta=92.29 gamma=90.00
Fractional coordinates of all 8 atoms:
Ho 0.000 0.000 0.000
Sn 0.270 0.500 0.343
Sn 0.523 0.500 0.857
Sn 0.787 0.000 0.503
Pd 0.328 0.000 0.644
Pd 0.475 0.000 0.155
Pd 0.798 0.500 0.230
Pd 0.987 0.500 0.695

Total moment = 0.00 μB per cell
DFT total energy = -5.34 eV/atom
Space-group type = Pm



Entry 3:
The following is a PBE calculation of an optimized crystal structure of HoSnPd2, from OQMD via LeMat-Bulk.

Unit cell a=4.436 b=6.156 c=5.888 alpha=90.00 beta=90.00 gamma=90.00
Fractional coordinates of all 8 atoms:
Ho 0.000 0.080 0.000
Ho 0.500 0.920 0.500
Sn 0.000 0.600 0.760
Sn 0.500 0.400 0.260
Pd 0.000 0.233 0.484
Pd 0.000 0.685 0.284
Pd 0.500 0.315 0.784
Pd 0.500 0.767 0.984

Total moment = 0.00 μB per cell
DFT total energy = -5.55 eV/atom
Space-group type = Pmn2_1



Entry 4:
The following is a PBE calculation of an optimized crystal structure of Tb2HoSn3Pd3, from OQMD via LeMat-Bulk.

Unit cell a=4.019 b=7.524 c=7.524 alpha=119.86 beta=90.00 gamma=90.00
Fractional coordinates of all 9 atoms:
Tb 0.000 0.204 0.796
Tb 0.000 0.796 0.204
Ho 0.000 0.388 0.388
Sn 0.500 0.053 0.053
Sn 0.500 0.538 0.795
Sn 0.500 0.795 0.538
Pd 0.000 0.794 0.794
Pd 0.500 0.131 0.462
Pd 0.500 0.462 0.131

Total moment = 0.00 μB per cell
DFT total energy = -5.54 eV/atom
Space-group type = Amm2